No. 1
The following is a DFT calculation (GGA-PBE) of an optimized crystal structure of YCoBr2.

Properties
ΔE_f (raw): -260 meV per atom
SG: No. 166
Crystal system: trigonal
Energy above the lowest structure with this stoichiometry: 46.9 kJ/mol of atoms

a = 3.632 Å, b = 3.632 Å, c = 23.632 Å
α = 90.00°, β = 90.00°, γ = 120.00°
Fractional positions:
Y1 0.000 0.000 0.000
Y2 0.333 0.667 0.667
Y3 0.667 0.333 0.333
Co1 0.000 0.000 0.500
Co2 0.333 0.667 0.167
Co3 0.667 0.333 0.833
Br1 0.000 0.000 0.233
Br2 0.000 0.000 0.767
Br3 0.333 0.667 0.434
Br4 0.333 0.667 0.900
Br5 0.667 0.333 0.100
Br6 0.667 0.333 0.566

No. 2
The following is a DFT calculation (GGA-PBE) of an optimized crystal structure of CaAcMgZn.

Properties
SG: No. 99
Crystal system: tetragonal
Energy above the lowest structure with this stoichiometry: 0.0 kJ/mol of atoms
E_form: -147.3 meV/atom

a = 3.898 Å, b = 3.898 Å, c = 7.955 Å
α = 90.00°, β = 90.00°, γ = 90.00°
Fractional positions:
Ca1 0.000 0.000 0.000
Ac1 0.000 0.000 0.459
Mg1 0.500 0.500 0.749
Zn1 0.500 0.500 0.213

No. 3
The following is a DFT calculation (GGA-PBE) of an optimized crystal structure of BaLa2Ru.

Properties
SG: No. 123
Crystal system: tetragonal
Energy above the lowest structure with this stoichiometry: 12.7 kJ/mol of atoms
E_form: -54.0 meV/atom

a = 3.640 Å, b = 3.640 Å, c = 10.597 Å
α = 90.00°, β = 90.00°, γ = 90.00°
Fractional positions:
Ba1 0.000 0.000 0.000
La1 0.500 0.500 0.342
La2 0.500 0.500 0.658
Ru1 0.000 0.000 0.500

No. 4
The following is a DFT calculation (GGA-PBE) of an optimized crystal structure of Na4Er3GeS8.

Properties
ΔE_f (raw): -1516 meV per atom
SG: No. 166
Crystal system: trigonal

a = 8.046 Å, b = 8.046 Å, c = 8.046 Å
α = 58.13°, β = 58.13°, γ = 58.13°
Fractional positions:
Na1 0.000 0.000 0.000
Na2 0.000 0.500 0.500
Na3 0.500 0.000 0.500
Na4 0.500 0.500 0.000
Er1 0.000 0.000 0.500
Er2 0.000 0.500 0.000
Er3 0.500 0.000 0.000
Ge1 0.500 0.500 0.500
S1 0.242 0.242 0.242
S2 0.251 0.734 0.734
S3 0.266 0.266 0.749
S4 0.266 0.749 0.266
S5 0.734 0.251 0.734
S6 0.734 0.734 0.251
S7 0.749 0.266 0.266
S8 0.758 0.758 0.758

No. 5
The following is a DFT calculation (GGA-PBE) of an optimized crystal structure of UBeC.

Properties
SG: No. 131
Crystal system: tetragonal
Energy above the lowest structure with this stoichiometry: 12.7 kJ/mol of atoms
E_form: -28.5 meV/atom

a = 3.357 Å, b = 3.357 Å, c = 7.076 Å
α = 90.00°, β = 90.00°, γ = 90.00°
Fractional positions:
U1 0.000 0.000 0.250
U2 0.000 0.000 0.750
Be1 0.500 0.500 0.000
Be2 0.500 0.500 0.500
C1 0.000 0.500 0.000
C2 0.500 0.000 0.500

No. 6
The following is a DFT calculation (GGA-PBE) of an optimized crystal structure of CeUTe3.

Properties
ΔE_f (raw): -898 meV per atom
SG: No. 12
Crystal system: monoclinic
Energy above the lowest structure with this stoichiometry: 0.0 kJ/mol of atoms

a = 8.392 Å, b = 8.392 Å, c = 12.070 Å
α = 120.07°, β = 120.07°, γ = 30.70°
Fractional positions:
Ce1 0.120 0.120 0.343
Ce2 0.880 0.880 0.657
U1 0.252 0.252 0.152
U2 0.748 0.748 0.848
Te1 0.115 0.115 0.851
Te2 0.349 0.349 0.453
Te3 0.381 0.381 0.844
Te4 0.619 0.619 0.156
Te5 0.651 0.651 0.547
Te6 0.885 0.885 0.149

No. 7
The following is a DFT calculation (GGA-PBE) of an optimized crystal structure of Hf2SnRu.

Properties
SG: No. 166
Crystal system: trigonal
E_form: -267.3 meV/atom

a = 3.322 Å, b = 3.322 Å, c = 26.012 Å
α = 90.00°, β = 90.00°, γ = 120.00°
Fractional positions:
Hf1 0.000 0.000 0.238
Hf2 0.000 0.000 0.762
Hf3 0.333 0.667 0.428
Hf4 0.333 0.667 0.905
Hf5 0.667 0.333 0.095
Hf6 0.667 0.333 0.572
Sn1 0.000 0.000 0.000
Sn2 0.333 0.667 0.667
Sn3 0.667 0.333 0.333
Ru1 0.000 0.000 0.500
Ru2 0.333 0.667 0.167
Ru3 0.667 0.333 0.833

No. 8
The following is a DFT calculation (GGA-PBE) of an optimized crystal structure of Ca2Zn2Pb.

Properties
SG: No. 139
Crystal system: tetragonal
Energy above the lowest structure with this stoichiometry: 12.6 kJ/mol of atoms
E_form: -241.1 meV/atom

a = 3.715 Å, b = 3.715 Å, c = 19.323 Å
α = 90.00°, β = 90.00°, γ = 90.00°
Fractional positions:
Ca1 0.000 0.000 0.109
Ca2 0.000 0.000 0.891
Ca3 0.500 0.500 0.391
Ca4 0.500 0.500 0.609
Zn1 0.000 0.500 0.250
Zn2 0.000 0.500 0.750
Zn3 0.500 0.000 0.250
Zn4 0.500 0.000 0.750
Pb1 0.000 0.000 0.500
Pb2 0.500 0.500 0.000